Compound: SmCuRh4
Source: Alexandria via LeMat-Bulk
Functional: PBE-GGA
Structure: relaxed

```
data_SmCuRh4
_chemical_formula_sum 'Sm4 Cu4 Rh16'
_symmetry_space_group_name_H-M 'F -4 3 m'
_symmetry_Int_Tables_number 216
_symmetry_space_group_name_Hall 'F -4 2 3'
_cell_length_a 7.419
_cell_length_b 7.419
_cell_length_c 7.419
_cell_angle_alpha 90.00
_cell_angle_beta 90.00
_cell_angle_gamma 90.00
loop_
_atom_site_label
_atom_site_type_symbol
_atom_site_fract_x
_atom_site_fract_y
_atom_site_fract_z
_atom_site_occupancy
Sm1 Sm 0.000 0.000 0.000 1
Cu1 Cu 0.250 0.250 0.250 1
Rh1 Rh 0.124 0.124 0.624 1
```

E_tot = -6.59 eV/atom
magnetic moment = 0.5 μB per cell
energy of formation = -0.215 eV/atom